--- A ---
This record from Alexandria describes an optimized crystal structure of Sr4InAu. The functional is PBE-GGA.

* D(E_F): 5.528 states/eV/f.u.

```
data_Sr4InAu
_chemical_formula_sum 'Sr16 In4 Au4'
_cell_length_a 10.284
_cell_length_b 15.140
_cell_length_c 7.330
_cell_angle_alpha 90.00
_cell_angle_beta 122.28
_cell_angle_gamma 90.00
_space_group_name_H-M_alt 'C 1 2/c 1'
_space_group_IT_number 15
_space_group_name_Hall '-C 2yc'
loop_
_atom_site_label
_atom_site_type_symbol
_atom_site_fract_x
_atom_site_fract_y
_atom_site_fract_z
Sr1 Sr 0.121 0.177 0.087
Sr2 Sr 0.205 0.440 0.280
In1 In 0.000 0.365 0.750
Au1 Au 0.000 0.003 0.250
```

--- B ---
This record from Alexandria describes an optimized crystal structure of Sr4InAu. The functional is PBE-GGA.

* D(E_F): 5.604 states/eV/f.u.

```
data_Sr4InAu
_chemical_formula_sum 'Sr16 In4 Au4'
_cell_length_a 9.383
_cell_length_b 4.485
_cell_length_c 21.753
_cell_angle_alpha 90.00
_cell_angle_beta 90.00
_cell_angle_gamma 90.00
_space_group_name_H-M_alt 'P n m a'
_space_group_IT_number 62
_space_group_name_Hall '-P 2ac 2n'
loop_
_atom_site_label
_atom_site_type_symbol
_atom_site_fract_x
_atom_site_fract_y
_atom_site_fract_z
Sr1 Sr 0.011 0.250 0.071
Sr2 Sr 0.017 0.250 0.776
Sr3 Sr 0.139 0.250 0.555
Sr4 Sr 0.148 0.250 0.355
In1 In 0.226 0.750 0.688
Au1 Au 0.244 0.250 0.953
```

--- C ---
This record from Alexandria describes an optimized crystal structure of Sr4InAu. The functional is PBE-GGA.

* D(E_F): 6.439 states/eV/f.u.

```
data_Sr4InAu
_chemical_formula_sum 'Sr16 In4 Au4'
_cell_length_a 9.879
_cell_length_b 9.879
_cell_length_c 9.879
_cell_angle_alpha 90.00
_cell_angle_beta 90.00
_cell_angle_gamma 90.00
_space_group_name_H-M_alt 'F -4 3 m'
_space_group_IT_number 216
_space_group_name_Hall 'F -4 2 3'
loop_
_atom_site_label
_atom_site_type_symbol
_atom_site_fract_x
_atom_site_fract_y
_atom_site_fract_z
Sr1 Sr 0.125 0.125 0.125
In1 In 0.000 0.000 0.500
Au1 Au 0.250 0.250 0.750
```

Top of the stability list: B, leading by 11 meV/atom.